Record 1
DFT (GGA-PBE) results for a relaxed DyZnCuSe3 crystal.

The structure in CIF format:
```
data_DyZnCuSe3
_chemical_formula_sum 'Dy4 Zn4 Cu4 Se12'
_cell_length_a 3.8142
_cell_length_b 12.7796
_cell_length_c 10.6054
_cell_angle_alpha 90.00
_cell_angle_beta 90.00
_cell_angle_gamma 90.00
_space_group_name_H-M_alt 'C m c m'
_space_group_IT_number 63
_space_group_name_Hall '-C 2c 2'
loop_
_atom_site_label
_atom_site_fract_x
_atom_site_fract_y
_atom_site_fract_z
_atom_site_occupancy
Dy1 0.0000 0.0000 0.0000 1
Zn1 0.0000 0.2179 0.2500 1
Cu1 0.0000 0.4823 0.7500 1
Se1 0.0000 0.1063 0.7500 1
Se2 0.0000 0.3498 0.5822 1
```

Values from the calculation:
Raw total energy: -4.175 eV per atom



Record 2
DFT (GGA-PBE) results for a relaxed Dy3Cu2Si4 crystal.

The structure in CIF format:
```
data_Dy3Cu2Si4
_chemical_formula_sum 'Dy6 Cu4 Si8'
_cell_length_a 10.5671
_cell_length_b 4.0403
_cell_length_c 7.9964
_cell_angle_alpha 90.00
_cell_angle_beta 101.32
_cell_angle_gamma 90.00
_space_group_name_H-M_alt 'C 1 2/m 1'
_space_group_IT_number 12
loop_
_space_group_symop_operation_xyz
'x,y,z'
'-x,-y,-z'
'-x,y,-z'
'x,-y,z'
'x+1/2,y+1/2,z'
'-x+1/2,-y+1/2,-z'
'-x+1/2,y+1/2,-z'
'x+1/2,-y+1/2,z'
loop_
_atom_site_label
_atom_site_fract_x
_atom_site_fract_y
_atom_site_fract_z
_atom_site_occupancy
Dy1 0.0000 0.0000 0.0000 1
Dy2 0.1619 0.5000 0.6683 1
Cu1 0.1123 0.5000 0.2824 1
Si1 0.0594 0.0000 0.3882 1
Si2 0.2176 0.5000 0.0590 1
```

Values from the calculation:
Raw total energy: -5.497 eV per atom



Record 3
DFT (GGA-PBE) results for a relaxed Dy4CuSi3 crystal.

The structure in CIF format:
```
data_Dy4CuSi3
_chemical_formula_sum 'Dy4 Cu1 Si3'
_cell_length_a 5.7272
_cell_length_b 3.9130
_cell_length_c 7.7695
_cell_angle_alpha 90.00
_cell_angle_beta 91.03
_cell_angle_gamma 90.00
_space_group_name_H-M_alt 'P 1 m 1'
_space_group_IT_number 6
loop_
_space_group_symop_operation_xyz
'x,y,z'
'x,-y,z'
loop_
_atom_site_label
_atom_site_fract_x
_atom_site_fract_y
_atom_site_fract_z
_atom_site_occupancy
Dy1 0.0000 0.0000 0.0000 1
Dy2 0.2391 0.5000 0.6555 1
Dy3 0.4955 0.5000 0.1377 1
Dy4 0.7376 0.0000 0.5029 1
Cu1 0.5038 0.0000 0.8564 1
Si1 0.2459 0.0000 0.3653 1
Si2 0.7429 0.5000 0.7871 1
Si3 0.9927 0.5000 0.2878 1
```

Values from the calculation:
Raw total energy: -5.470 eV per atom



Record 4
DFT (GGA-PBE) results for a relaxed Dy4Cu3Si crystal.

The structure in CIF format:
```
data_Dy4Cu3Si
_chemical_formula_sum 'Dy4 Cu3 Si1'
_cell_length_a 5.6520
_cell_length_b 4.1874
_cell_length_c 7.3000
_cell_angle_alpha 90.00
_cell_angle_beta 90.78
_cell_angle_gamma 90.00
_space_group_name_H-M_alt 'P 1 m 1'
_space_group_IT_number 6
loop_
_space_group_symop_operation_xyz
'x,y,z'
'x,-y,z'
loop_
_atom_site_label
_atom_site_fract_x
_atom_site_fract_y
_atom_site_fract_z
_atom_site_occupancy
Dy1 0.0000 0.0000 0.0000 1
Dy2 0.2402 0.0000 0.5094 1
Dy3 0.4998 0.5000 0.8642 1
Dy4 0.7422 0.5000 0.3563 1
Cu1 0.2409 0.5000 0.2163 1
Cu2 0.4866 0.0000 0.1484 1
Cu3 0.9865 0.5000 0.7146 1
Si1 0.7348 0.0000 0.6433 1
```

Values from the calculation:
Raw total energy: -4.743 eV per atom



Record 5
DFT (GGA-PBE) results for a relaxed SmDyCu2Si2 crystal.

The structure in CIF format:
```
data_SmDyCu2Si2
_chemical_formula_sum 'Sm1 Dy1 Cu2 Si2'
_cell_length_a 4.1637
_cell_length_b 4.1637
_cell_length_c 7.6705
_cell_angle_alpha 90.00
_cell_angle_beta 90.00
_cell_angle_gamma 120.00
_space_group_name_H-M_alt 'P -3 m 1'
_space_group_IT_number 164
_space_group_name_Hall '-P 3 2"'
loop_
_atom_site_label
_atom_site_fract_x
_atom_site_fract_y
_atom_site_fract_z
_atom_site_occupancy
Sm1 0.0000 0.0000 0.0000 1
Dy1 0.0000 0.0000 0.5000 1
Cu1 0.3333 0.6667 0.2585 1
Si1 0.3333 0.6667 0.7434 1
```

Values from the calculation:
Raw total energy: -5.258 eV per atom



Record 6
DFT (GGA-PBE) results for a relaxed Dy3Cu4Si2Sn2 crystal.

The structure in CIF format:
```
data_Dy3Cu4Si2Sn2
_chemical_formula_sum 'Dy6 Cu8 Si4 Sn4'
_cell_length_a 4.2350
_cell_length_b 6.8542
_cell_length_c 14.2068
_cell_angle_alpha 90.00
_cell_angle_beta 90.00
_cell_angle_gamma 90.00
_space_group_name_H-M_alt 'I m m m'
_space_group_IT_number 71
_space_group_name_Hall '-I 2 2'
loop_
_atom_site_label
_atom_site_fract_x
_atom_site_fract_y
_atom_site_fract_z
_atom_site_occupancy
Dy1 0.0000 0.0000 0.0000 1
Dy2 0.0000 0.5000 0.1349 1
Cu1 0.0000 0.3104 0.3183 1
Si1 0.0000 0.0000 0.2158 1
Sn1 0.0000 0.2031 0.5000 1
```

Values from the calculation:
Raw total energy: -4.843 eV per atom



Record 7
DFT (GGA-PBE) results for a relaxed Tb2DyCu4Si2Sn2 crystal.

The structure in CIF format:
```
data_Tb2DyCu4Si2Sn2
_chemical_formula_sum 'Tb4 Dy2 Cu8 Si4 Sn4'
_cell_length_a 4.2498
_cell_length_b 6.8530
_cell_length_c 14.2677
_cell_angle_alpha 90.00
_cell_angle_beta 90.00
_cell_angle_gamma 90.00
_space_group_name_H-M_alt 'I m m m'
_space_group_IT_number 71
_space_group_name_Hall '-I 2 2'
loop_
_atom_site_label
_atom_site_fract_x
_atom_site_fract_y
_atom_site_fract_z
_atom_site_occupancy
Tb1 0.0000 0.0000 0.1352 1
Dy1 0.0000 0.5000 0.0000 1
Cu1 0.0000 0.1893 0.3187 1
Si1 0.0000 0.5000 0.2156 1
Sn1 0.0000 0.2966 0.5000 1
```

Values from the calculation:
Polymorph energy (0 for the lowest one): 79 kJ/mol of formula units
Raw total energy: -4.849 eV per atom



Record 8
DFT (GGA-PBE) results for a relaxed Tb2DyCu4Si2Sn2 crystal.

The structure in CIF format:
```
data_Tb2DyCu4Si2Sn2
_chemical_formula_sum 'Tb4 Dy2 Cu8 Si4 Sn4'
_cell_length_a 4.3407
_cell_length_b 6.6302
_cell_length_c 14.3918
_cell_angle_alpha 90.00
_cell_angle_beta 90.00
_cell_angle_gamma 90.00
_space_group_name_H-M_alt 'I m m m'
_space_group_IT_number 71
_space_group_name_Hall '-I 2 2'
loop_
_atom_site_label
_atom_site_fract_x
_atom_site_fract_y
_atom_site_fract_z
_atom_site_occupancy
Tb1 0.0000 0.0000 0.1248 1
Dy1 0.0000 0.5000 0.0000 1
Cu1 0.0000 0.1894 0.3470 1
Si1 0.0000 0.3180 0.5000 1
Sn1 0.0000 0.5000 0.2179 1
```

Values from the calculation:
Polymorph energy (0 for the lowest one): 0 kJ/mol of formula units
Raw total energy: -4.923 eV per atom



Record 9
DFT (GGA-PBE) results for a relaxed Dy2YCu4Si2Sn2 crystal.

The structure in CIF format:
```
data_Dy2YCu4Si2Sn2
_chemical_formula_sum 'Dy4 Y2 Cu8 Si4 Sn4'
_cell_length_a 4.2338
_cell_length_b 6.8530
_cell_length_c 14.2102
_cell_angle_alpha 90.00
_cell_angle_beta 90.00
_cell_angle_gamma 90.00
_space_group_name_H-M_alt 'I m m m'
_space_group_IT_number 71
_space_group_name_Hall '-I 2 2'
loop_
_atom_site_label
_atom_site_fract_x
_atom_site_fract_y
_atom_site_fract_z
_atom_site_occupancy
Dy1 0.0000 0.0000 0.1349 1
Y1 0.0000 0.5000 0.0000 1
Cu1 0.0000 0.1899 0.3179 1
Si1 0.0000 0.5000 0.2160 1
Sn1 0.0000 0.2972 0.5000 1
```

Values from the calculation:
Polymorph energy (0 for the lowest one): 77 kJ/mol of formula units
Raw total energy: -5.016 eV per atom



Record 10
DFT (GGA-PBE) results for a relaxed Dy2YCu4Si2Sn2 crystal.

The structure in CIF format:
```
data_Dy2YCu4Si2Sn2
_chemical_formula_sum 'Dy4 Y2 Cu8 Si4 Sn4'
_cell_length_a 4.3230
_cell_length_b 6.6238
_cell_length_c 14.3460
_cell_angle_alpha 90.00
_cell_angle_beta 90.00
_cell_angle_gamma 90.00
_space_group_name_H-M_alt 'I m m m'
_space_group_IT_number 71
_space_group_name_Hall '-I 2 2'
loop_
_atom_site_label
_atom_site_fract_x
_atom_site_fract_y
_atom_site_fract_z
_atom_site_occupancy
Dy1 0.0000 0.0000 0.1242 1
Y1 0.0000 0.5000 0.0000 1
Cu1 0.0000 0.1910 0.3463 1
Si1 0.0000 0.3183 0.5000 1
Sn1 0.0000 0.5000 0.2182 1
```

Values from the calculation:
Polymorph energy (0 for the lowest one): 0 kJ/mol of formula units
Raw total energy: -5.088 eV per atom



Record 11
DFT (GGA-PBE) results for a relaxed TbDyCu2Si2 crystal.

The structure in CIF format:
```
data_TbDyCu2Si2
_chemical_formula_sum 'Tb1 Dy1 Cu2 Si2'
_cell_length_a 4.1399
_cell_length_b 4.1399
_cell_length_c 7.5225
_cell_angle_alpha 90.00
_cell_angle_beta 90.00
_cell_angle_gamma 120.00
_space_group_name_H-M_alt 'P -3 m 1'
_space_group_IT_number 164
_space_group_name_Hall '-P 3 2"'
loop_
_atom_site_label
_atom_site_fract_x
_atom_site_fract_y
_atom_site_fract_z
_atom_site_occupancy
Tb1 0.0000 0.0000 0.0000 1
Dy1 0.0000 0.0000 0.5000 1
Cu1 0.3333 0.6667 0.2509 1
Si1 0.3333 0.6667 0.7490 1
```

Values from the calculation:
Raw total energy: -5.255 eV per atom



Record 12
DFT (GGA-PBE) results for a relaxed DyCuSi2Tc crystal.

The structure in CIF format:
```
data_DyCuSi2Tc
_chemical_formula_sum 'Dy2 Cu2 Si4 Tc2'
_cell_length_a 3.9941
_cell_length_b 3.9941
_cell_length_c 10.2439
_cell_angle_alpha 90.00
_cell_angle_beta 90.00
_cell_angle_gamma 90.00
_space_group_name_H-M_alt 'I -4 m 2'
_space_group_IT_number 119
_space_group_name_Hall 'I -4 -2'
loop_
_atom_site_label
_atom_site_fract_x
_atom_site_fract_y
_atom_site_fract_z
_atom_site_occupancy
Dy1 0.0000 0.0000 0.0000 1
Cu1 0.0000 0.5000 0.7500 1
Si1 0.0000 0.0000 0.3812 1
Tc1 0.0000 0.5000 0.2500 1
```

Values from the calculation:
Raw total energy: -6.475 eV per atom